# LiTiF4

A geometry-optimized LiTiF4 structure (PBE-GGA, Alexandria).

Output
Density of states at the Fermi level = 0.4 states/eV per cell
Energy = -6.08 eV per atom
Space group = Cmmm (65)
Energy relative to the elements, uncorrected = -3.193 eV per atom

a = 3.2075 Å, b = 4.6719 Å, c = 4.6719 Å
α = 91.22°, β = 90.00°, γ = 90.00°
Last column: magnetic moment on the atom in μB.
Atoms (fractional coordinates):
F1 0.5000 0.3080 0.6920  0.01
F2 0.0000 0.2085 0.2085  -0.01
F3 0.0000 0.7915 0.7915  -0.01
F4 0.5000 0.6920 0.3080  0.01
Li1 0.5000 0.0000 0.0000  0.00
Ti1 0.0000 0.5000 0.5000  0.92



# LiTi2F8

A geometry-optimized LiTi2F8 structure (PBE-GGA, Alexandria).

Output
Density of states at the Fermi level = 6.0 states/eV per cell
Energy = -6.16 eV per atom
Space group = C2/m (12)
Energy relative to the elements, uncorrected = -3.190 eV per atom
Energy above the lowest structure with this stoichiometry = 0.0493 eV/atom

a = 4.8648 Å, b = 6.7859 Å, c = 6.7859 Å
α = 46.30°, β = 114.20°, γ = 114.20°
Last column: magnetic moment on the atom in μB.
Atoms (fractional coordinates):
Ti1 0.7880 0.2318 0.2319  0.48
Ti2 0.2120 0.7682 0.7681  0.48
F1 0.4620 0.6920 0.6920  0.00
F2 0.9514 0.3922 0.9045  -0.01
F3 0.4235 0.0921 0.0921  0.00
F4 0.0486 0.0955 0.6078  -0.01
F5 0.9514 0.9045 0.3922  -0.01
F6 0.5380 0.3080 0.3080  0.00
F7 0.5765 0.9079 0.9079  0.00
F8 0.0486 0.6078 0.0955  -0.01
Li1 0.0000 0.0000 0.0000  0.00



# Li3TiF6

A geometry-optimized Li3TiF6 structure (PBE-GGA, Alexandria).

Output
Density of states at the Fermi level = 12.0 states/eV per cell
Energy = -5.56 eV per atom
Space group = R-3 (148)
Energy relative to the elements, uncorrected = -3.077 eV per atom
Energy above the lowest structure with this stoichiometry = 0.0239 eV/atom

a = 6.0648 Å, b = 6.0648 Å, c = 6.0648 Å
α = 91.90°, β = 91.90°, γ = 91.90°
Last column: magnetic moment on the atom in μB.
Atoms (fractional coordinates):
F1 0.6914 0.8964 0.0454  0.00
F2 0.1945 0.4181 0.5804  0.00
F3 0.4181 0.5804 0.1945  0.00
F4 0.9546 0.3086 0.1036  0.00
F5 0.1036 0.9546 0.3086  0.00
F6 0.5804 0.1945 0.4181  0.00
F7 0.8055 0.5819 0.4196  0.00
F8 0.3086 0.1036 0.9546  0.00
F9 0.0454 0.6914 0.8964  0.00
F10 0.5819 0.4196 0.8055  0.00
F11 0.4196 0.8055 0.5819  0.00
F12 0.8964 0.0454 0.6914  0.00
Ti1 0.5000 0.5000 0.5000  0.88
Ti2 0.0000 0.0000 0.0000  0.94
Li1 0.7527 0.5600 0.0551  0.00
Li2 0.5600 0.0551 0.7527  0.00
Li3 0.4400 0.9449 0.2473  0.00
Li4 0.0551 0.7527 0.5600  0.00
Li5 0.2473 0.4400 0.9449  0.00
Li6 0.9449 0.2473 0.4400  0.00



# LiTiF4

A geometry-optimized LiTiF4 structure (PBE-GGA, Alexandria).

Output
Density of states at the Fermi level = 3.2 states/eV per cell
Energy = -5.86 eV per atom
Space group = P222 (16)
Energy relative to the elements, uncorrected = -2.979 eV per atom

a = 5.6707 Å, b = 5.5626 Å, c = 5.6256 Å
α = 90.00°, β = 90.00°, γ = 90.00°
Last column: magnetic moment on the atom in μB.
Atoms (fractional coordinates):
F1 0.8338 0.2550 0.1667  0.00
F2 0.2462 0.8193 0.6497  0.00
F3 0.7538 0.1807 0.6497  0.00
F4 0.7538 0.8193 0.3503  0.00
F5 0.8338 0.7450 0.8333  0.00
F6 0.1662 0.7450 0.1667  0.00
F7 0.1662 0.2550 0.8333  0.00
F8 0.2462 0.1807 0.3503  0.00
Ti1 0.0000 0.5000 0.0000  0.96
Ti2 0.0000 0.0000 0.5000  0.85
Li1 0.5000 0.0000 0.5000  0.00
Li2 0.0000 0.0000 0.0000  0.01



# Li2TiF5

A geometry-optimized Li2TiF5 structure (PBE-GGA, Alexandria).

Output
Density of states at the Fermi level = 3.7 states/eV per cell
Energy = -5.76 eV per atom
Space group = Cmcm (63)
Energy relative to the elements, uncorrected = -3.121 eV per atom
Energy above the lowest structure with this stoichiometry = 0.0000 eV/atom

a = 3.9206 Å, b = 5.3445 Å, c = 10.3313 Å
α = 90.00°, β = 90.00°, γ = 111.52°
Last column: magnetic moment on the atom in μB.
Atoms (fractional coordinates):
F1 0.6951 0.3902 0.5935  0.00
F2 0.2974 0.5948 0.7500  -0.01
F3 0.9579 0.9158 0.8799  0.00
F4 0.9579 0.9158 0.6201  0.00
F5 0.3049 0.6098 0.0935  0.00
F6 0.3049 0.6098 0.4065  0.00
F7 0.0421 0.0842 0.3799  0.00
F8 0.6951 0.3902 0.9065  0.00
F9 0.7026 0.4052 0.2500  -0.01
F10 0.0421 0.0842 0.1201  0.00
Li1 0.1345 0.2691 0.5480  0.00
Li2 0.8655 0.7309 0.4520  0.00
Li3 0.1345 0.2691 0.9520  0.00
Li4 0.8655 0.7309 0.0480  0.00
Ti1 0.1849 0.3698 0.2500  0.92
Ti2 0.8151 0.6302 0.7500  0.92



# LiTi2F8

A geometry-optimized LiTi2F8 structure (PBE-GGA, Alexandria).

Output
Density of states at the Fermi level = 6.0 states/eV per cell
Energy = -6.21 eV per atom
Space group = C2/m (12)
Energy relative to the elements, uncorrected = -3.239 eV per atom
Energy above the lowest structure with this stoichiometry = 0.0000 eV/atom

a = 5.1829 Å, b = 5.1477 Å, c = 5.1477 Å
α = 76.99°, β = 99.20°, γ = 99.20°
Last column: magnetic moment on the atom in μB.
Atoms (fractional coordinates):
F1 0.7327 0.5496 0.5496  -0.01
F2 0.8224 0.1837 0.1837  0.00
F3 0.6732 0.6647 0.0436  -0.01
F4 0.2673 0.4504 0.4504  -0.01
F5 0.3268 0.3353 0.9564  -0.01
F6 0.6732 0.0436 0.6647  -0.01
F7 0.3268 0.9564 0.3353  -0.01
F8 0.1776 0.8163 0.8163  0.00
Ti1 0.4381 0.6916 0.6916  0.49
Ti2 0.5619 0.3084 0.3084  0.49
Li1 0.0000 0.0000 0.0000  0.00



# LiTi3F

A geometry-optimized LiTi3F structure (PBE-GGA, Alexandria).

Output
Density of states at the Fermi level = 2.6 states/eV per cell
Energy = -5.83 eV per atom
Space group = Pm-3m (221)
Energy relative to the elements, uncorrected = -0.335 eV per atom
Energy above the lowest structure with this stoichiometry = 0.0000 eV/atom

a = 4.2219 Å, b = 4.2219 Å, c = 4.2219 Å
α = 90.00°, β = 90.00°, γ = 90.00°
Atoms (fractional coordinates):
Ti1 0.5000 0.0000 0.0000
Ti2 0.0000 0.5000 0.0000
Ti3 0.0000 0.0000 0.5000
Li1 0.5000 0.5000 0.5000
F1 0.0000 0.0000 0.0000



# Li3TiF7

A geometry-optimized Li3TiF7 structure (PBE-GGA, Alexandria).

Output
Density of states at the Fermi level = 0.0 states/eV per cell
Energy = -5.54 eV per atom
Space group = Cm (8)
Energy relative to the elements, uncorrected = -3.107 eV per atom

a = 5.0301 Å, b = 5.0301 Å, c = 5.4524 Å
α = 71.07°, β = 71.07°, γ = 98.58°
Atoms (fractional coordinates):
F1 0.6189 0.6189 0.3385
F2 0.1304 0.1304 0.2160
F3 0.7887 0.7887 0.8158
F4 0.0133 0.3300 0.7175
F5 0.6511 0.1274 0.1890
F6 0.1274 0.6511 0.1890
F7 0.3300 0.0133 0.7175
Li1 0.7800 0.2697 0.4692
Li2 0.4566 0.4566 0.1145
Li3 0.2697 0.7800 0.4692
Ti1 0.9589 0.9589 0.0138



# Li3TiF6

A geometry-optimized Li3TiF6 structure (PBE-GGA, Alexandria).

Output
Density of states at the Fermi level = 8.1 states/eV per cell
Energy = -5.37 eV per atom
Space group = Fm-3m (225)
Energy relative to the elements, uncorrected = -2.879 eV per atom
Energy above the lowest structure with this stoichiometry = 0.2218 eV/atom

a = 5.5422 Å, b = 5.5422 Å, c = 5.5422 Å
α = 60.00°, β = 60.00°, γ = 60.00°
Last column: magnetic moment on the atom in μB.
Atoms (fractional coordinates):
F1 0.2503 0.7497 0.7497  0.00
F2 0.7497 0.2503 0.7497  0.00
F3 0.2503 0.7497 0.2503  0.00
F4 0.2503 0.2503 0.7497  0.00
F5 0.7497 0.2503 0.2503  0.00
F6 0.7497 0.7497 0.2503  0.00
Li1 0.5000 0.5000 0.5000  0.00
Li2 0.2500 0.2500 0.2500  0.00
Li3 0.7500 0.7500 0.7500  0.00
Ti1 0.0000 0.0000 0.0000  0.91



# LiTiTlF6

A geometry-optimized LiTiTlF6 structure (PBE-GGA, Alexandria).

Output
Density of states at the Fermi level = 0.0 states/eV per cell
Energy = -5.62 eV per atom
Space group = P312 (149)
Energy relative to the elements, uncorrected = -3.023 eV per atom

a = 5.3445 Å, b = 5.3445 Å, c = 6.0363 Å
α = 90.00°, β = 90.00°, γ = 59.99°
Atoms (fractional coordinates):
F1 0.3735 0.6023 0.3200
F2 0.6023 0.3735 0.6800
F3 0.6023 0.0242 0.3200
F4 0.0242 0.6023 0.6800
F5 0.0242 0.3735 0.3200
F6 0.3735 0.0242 0.6800
Li1 0.6666 0.6667 0.5000
Ti1 0.3333 0.3333 0.5000
Tl1 0.0000 0.0000 0.0000



# Li2Tl2F

A geometry-optimized Li2Tl2F structure (PBE-GGA, Alexandria).

Output
Density of states at the Fermi level = 1.7 states/eV per cell
Energy = -3.20 eV per atom
Space group = C2/m (12)
Energy relative to the elements, uncorrected = -1.114 eV per atom
Energy above the lowest structure with this stoichiometry = 0.0333 eV/atom

a = 3.0466 Å, b = 15.1786 Å, c = 5.4542 Å
α = 90.00°, β = 120.46°, γ = 90.00°
Atoms (fractional coordinates):
F1 0.0000 0.0000 0.5000
F2 0.0000 0.5000 0.0000
Tl1 0.5000 0.3145 0.5000
Tl2 0.5000 0.6855 0.5000
Tl3 0.5000 0.8145 0.0000
Tl4 0.5000 0.1855 0.0000
Li1 0.5000 0.4178 0.0000
Li2 0.5000 0.9178 0.5000
Li3 0.5000 0.0822 0.5000
Li4 0.5000 0.5822 0.0000



# LiTlF3

A geometry-optimized LiTlF3 structure (PBE-GGA, Alexandria).

Output
Density of states at the Fermi level = 2.3 states/eV per cell
Energy = -4.07 eV per atom
Space group = P-31m (162)
Energy relative to the elements, uncorrected = -2.094 eV per atom
Energy above the lowest structure with this stoichiometry = 0.0098 eV/atom

a = 5.9799 Å, b = 5.9799 Å, c = 7.0355 Å
α = 90.00°, β = 90.00°, γ = 120.00°
Atoms (fractional coordinates):
F1 0.6910 0.0000 0.6776
F2 0.0000 0.6910 0.6776
F3 0.3090 0.3090 0.6776
F4 0.6910 0.6910 0.3224
F5 0.3090 0.0000 0.3224
F6 0.0000 0.3090 0.3224
Tl1 0.3333 0.6667 0.5000
Tl2 0.6667 0.3333 0.5000
Li1 0.0000 0.0000 0.2824
Li2 0.0000 0.0000 0.7176